Record 1
{
  "formula": "AcPmAgOs",
  "functional": "PBE",
  "state": "relaxed",
  "formation_enthalpy_0k_ev_per_atom": -0.032,
  "magmom_total_mub_per_cell": 0.0,
  "cell": [[0.000, 3.693, 3.693], [3.693, 0.000, 3.693], [3.693, 3.693, 0.000]],
  "species": ["Ac", "Pm", "Ag", "Os"],
  "frac_coords": [[0.000, 0.000, 0.000], [0.500, 0.500, 0.500], [0.750, 0.750, 0.750], [0.250, 0.250, 0.250]]
}

Record 2
{
  "formula": "YTmAgOs",
  "functional": "PBE",
  "state": "relaxed",
  "polymorph_energy_ev_per_atom": 0.045,
  "formation_enthalpy_0k_ev_per_atom": -0.292,
  "magmom_total_mub_per_cell": 0.0,
  "cell": [[0.000, 3.481, 3.481], [3.481, 0.000, 3.481], [3.481, 3.481, 0.000]],
  "species": ["Y", "Tm", "Ag", "Os"],
  "frac_coords": [[0.000, 0.000, 0.000], [0.500, 0.500, 0.500], [0.750, 0.750, 0.750], [0.250, 0.250, 0.250]]
}